A relaxed Pu3Al5Se12 crystal. Source: the Alexandria database, functional GGA-PBE.

Computed properties:
As for the total energy: -0.22884 Ha/atom. Its space group is Ia-3d. The calculation puts the size of the total moment at 60.000 μB/cell. For the density of states at the Fermi level, the calculation gives 1.522 states/eV/atom. As for the uncorrected formation energy: -1.0508 eV per atom.

a b c (Å): 13.7002 13.7002 13.7002
angles (deg): 109.47 109.47 109.47
With the nearest neighbours (Å) after each atom.
Sites, in units of the cell vectors:
Pu 0.7500 0.3750 0.1250  8 Se 3.05-3.07
Pu 0.8750 0.7500 0.1250  8 Se 3.05-3.07
Pu 0.3750 0.7500 0.6250  8 Se 3.05-3.07
Pu 0.2500 0.1250 0.3750  8 Se 3.05-3.07
Pu 0.8750 0.1250 0.2500  8 Se 3.05-3.07
Pu 0.3750 0.6250 0.2500  8 Se 3.05-3.07
Pu 0.6250 0.3750 0.7500  8 Se 3.05-3.07
Pu 0.1250 0.8750 0.7500  8 Se 3.05-3.07
Pu 0.7500 0.8750 0.6250  8 Se 3.05-3.07
Pu 0.6250 0.2500 0.3750  8 Se 3.05-3.07
Pu 0.1250 0.2500 0.8750  8 Se 3.05-3.07
Pu 0.2500 0.6250 0.8750  8 Se 3.05-3.07
Al 0.1250 0.3750 0.2500  4 Se 2.40
Al 0.0000 0.5000 0.0000  6 Se 2.57
Al 0.0000 0.0000 0.0000  6 Se 2.57
Al 0.3750 0.2500 0.1250  4 Se 2.40
Al 0.5000 0.0000 0.5000  6 Se 2.57
Al 0.5000 0.5000 0.0000  6 Se 2.57
Al 0.1250 0.7500 0.3750  4 Se 2.40
Al 0.7500 0.1250 0.8750  4 Se 2.40
Al 0.7500 0.6250 0.3750  4 Se 2.40
Al 0.3750 0.1250 0.7500  4 Se 2.40
Al 0.6250 0.8750 0.2500  4 Se 2.40
Al 0.5000 0.5000 0.5000  6 Se 2.57
Al 0.5000 0.0000 0.0000  6 Se 2.57
Al 0.0000 0.0000 0.5000  6 Se 2.57
Al 0.2500 0.3750 0.6250  4 Se 2.40
Al 0.2500 0.8750 0.1250  4 Se 2.40
Al 0.0000 0.5000 0.5000  6 Se 2.57
Al 0.8750 0.2500 0.6250  4 Se 2.40
Al 0.6250 0.7500 0.8750  4 Se 2.40
Al 0.8750 0.6250 0.7500  4 Se 2.40
Se 0.7081 0.1208 0.0311  2 Al 2.40-2.57
Se 0.3230 0.5311 0.4102  2 Al 2.40-2.57
Se 0.9689 0.3792 0.2919  2 Al 2.40-2.57
Se 0.5311 0.2081 0.1208  2 Al 2.40-2.57
Se 0.5873 0.7081 0.6770  2 Al 2.40-2.57
Se 0.9689 0.5898 0.1770  2 Al 2.40-2.57
Se 0.3230 0.7919 0.4127  2 Al 2.40-2.57
Se 0.0898 0.9127 0.1208  2 Al 2.40-2.57
Se 0.5898 0.9689 0.6770  2 Al 2.40-2.57
Se 0.7081 0.5873 0.1770  2 Al 2.40-2.57
Se 0.7919 0.4689 0.3792  2 Al 2.40-2.57
Se 0.8230 0.9102 0.0311  2 Al 2.40-2.57
Se 0.1208 0.7081 0.5311  2 Al 2.40-2.57
Se 0.3792 0.4102 0.0873  2 Al 2.40-2.57
Se 0.0873 0.9102 0.3792  2 Al 2.40-2.57
Se 0.4127 0.1208 0.5898  2 Al 2.40-2.57
Se 0.0873 0.1770 0.2081  2 Al 2.40-2.57
Se 0.4689 0.6770 0.0898  2 Al 2.40-2.57
Se 0.8230 0.9127 0.2919  2 Al 2.40-2.57
Se 0.1208 0.4127 0.0898  2 Al 2.40-2.57
Se 0.3792 0.9689 0.7919  2 Al 2.40-2.57
Se 0.5898 0.6208 0.4127  2 Al 2.40-2.57
Se 0.9102 0.8230 0.5311  2 Al 2.40-2.57
Se 0.7919 0.3230 0.9127  2 Al 2.40-2.57
Se 0.4102 0.3792 0.5873  2 Al 2.40-2.57
Se 0.0898 0.1770 0.4689  2 Al 2.40-2.57
Se 0.2081 0.6770 0.0873  2 Al 2.40-2.57
Se 0.1770 0.0873 0.7081  2 Al 2.40-2.57
Se 0.6208 0.0311 0.2081  2 Al 2.40-2.57
Se 0.8792 0.5873 0.9102  2 Al 2.40-2.57
Se 0.5311 0.3230 0.9102  2 Al 2.40-2.57
Se 0.5873 0.8792 0.4102  2 Al 2.40-2.57
Se 0.9127 0.8230 0.7919  2 Al 2.40-2.57
Se 0.9127 0.0898 0.6208  2 Al 2.40-2.57
Se 0.8792 0.2919 0.4689  2 Al 2.40-2.57
Se 0.1770 0.0898 0.9689  2 Al 2.40-2.57
Se 0.6208 0.5898 0.9127  2 Al 2.40-2.57
Se 0.4102 0.0311 0.3230  2 Al 2.40-2.57
Se 0.2919 0.4127 0.8230  2 Al 2.40-2.57
Se 0.2081 0.5311 0.6208  2 Al 2.40-2.57
Se 0.9102 0.0873 0.8792  2 Al 2.40-2.57
Se 0.6770 0.2081 0.5873  2 Al 2.40-2.57
Se 0.4689 0.7919 0.8792  2 Al 2.40-2.57
Se 0.0311 0.4102 0.8230  2 Al 2.40-2.57
Se 0.4127 0.2919 0.3230  2 Al 2.40-2.57
Se 0.0311 0.6208 0.7081  2 Al 2.40-2.57
Se 0.6770 0.4689 0.5898  2 Al 2.40-2.57
Se 0.2919 0.8792 0.9689  2 Al 2.40-2.57